No. 1
A relaxed CaNbPCl2 crystal. Source: Alexandria, functional PBE.

Summary:
- size of the total moment (μB/f.u.) = 0.000
- formation energy (no corrections) (eV/atom) = -0.7682
- DOS at the Fermi energy (states/eV per cell) = 3.134
- total DFT energy (no corrections) (eV per atom) = -5.003
- SG = P4/mmm, No. 123

a = 4.8504 Å, b = 4.8504 Å, c = 5.0409 Å
α = 90.00°, β = 90.00°, γ = 90.00°
Closest atoms and distances in Å follow each position.
Positions (direct):
Ca 0.0000 0.0000 0.0000  4 P 3.43, 8 Cl 3.50
Nb 0.5000 0.5000 0.5000  4 Cl 2.43, 2 P 2.52
P 0.5000 0.5000 0.0000  2 Nb 2.52
Cl 0.0000 0.5000 0.5000  2 Nb 2.43
Cl 0.5000 0.0000 0.5000  2 Nb 2.43



No. 2
A relaxed As2WBr crystal. Source: Alexandria, functional PBE.

Summary:
- size of the total moment (μB/f.u.) = 0.000
- formation energy (no corrections) (eV/atom) = 0.1504
- DOS at the Fermi energy (states/eV per cell) = 2.439
- total DFT energy (no corrections) (eV per atom) = -5.831
- SG = R-3m, No. 166

a = 8.3411 Å, b = 8.3411 Å, c = 8.3411 Å
α = 23.30°, β = 23.30°, γ = 23.30°
Closest atoms and distances in Å follow each position.
Positions (direct):
As 0.2365 0.2365 0.2365  3 W 2.58
As 0.7635 0.7635 0.7635  3 W 2.58
W 0.5000 0.5000 0.5000  6 As 2.58
Br 0.0000 0.0000 0.0000  6 As 3.05, 6 Br 3.37



No. 3
A relaxed AcYF6 crystal. Source: Alexandria, functional PBE.

Summary:
- size of the total moment (μB/f.u.) = 0.000
- formation energy (no corrections) (eV/atom) = -4.1132
- DOS at the Fermi energy (states/eV per cell) = 0.000
- total DFT energy (no corrections) (eV per atom) = -6.838
- SG = P4_2/m, No. 84

a = 5.5704 Å, b = 5.5704 Å, c = 8.1681 Å
α = 90.00°, β = 90.00°, γ = 90.00°
Closest atoms and distances in Å follow each position.
Positions (direct):
Ac 0.0000 0.0000 0.0000  6 F 2.40-2.63
Ac 0.0000 0.0000 0.5000  6 F 2.40-2.63
Y 0.5000 0.5000 0.2500  8 F 2.21-2.43
Y 0.5000 0.5000 0.7500  8 F 2.21-2.43
F 0.1921 0.2649 0.1918  1 Y 2.21, 1 Ac 2.40
F 0.1921 0.2649 0.8082  1 Y 2.21, 1 Ac 2.40
F 0.2649 0.8079 0.3082  1 Y 2.21, 1 Ac 2.40
F 0.2649 0.8079 0.6918  1 Y 2.21, 1 Ac 2.40
F 0.3130 0.3532 0.5000  2 Y 2.43, 1 Ac 2.63, 3 F 2.65
F 0.3532 0.6870 0.0000  2 Y 2.43, 1 Ac 2.63, 3 F 2.65
F 0.6468 0.3130 0.0000  2 Y 2.43, 1 Ac 2.63, 3 F 2.65
F 0.6870 0.6468 0.5000  2 Y 2.43, 1 Ac 2.63, 3 F 2.65
F 0.7351 0.1921 0.3082  1 Y 2.21, 1 Ac 2.40
F 0.7351 0.1921 0.6918  1 Y 2.21, 1 Ac 2.40
F 0.8079 0.7351 0.1918  1 Y 2.21, 1 Ac 2.40
F 0.8079 0.7351 0.8082  1 Y 2.21, 1 Ac 2.40